Crystalline BaAuSe at its relaxed geometry. Source: the Alexandria database, functional PBE.

Summary:
Volume: 29.714 Å³/atom
Total moment: 0.0 μB/cell
Space group: No. 187
Energy above the most stable polymorph in this dataset: 152 meV/atom
ΔE_f (raw): -0.973 eV/atom

Cell lengths 4.877, 4.877, 4.328 Å; angles 90.00, 90.00, 120.00 degrees
Fractional positions:
Au 0.000 0.000 0.834
Ba 0.667 0.333 0.334
Se 0.333 0.667 0.833